No. 1
# LaScMn | Alexandria via LeMat-Bulk | GGA-PBEsol | optimized geometry
data_LaScMn
_chemical_formula_sum 'La4 Sc4 Mn4'
_cell_length_a 6.553
_cell_length_b 6.553
_cell_length_c 6.553
_cell_angle_alpha 90.00
_cell_angle_beta 90.00
_cell_angle_gamma 90.00
_symmetry_space_group_name_H-M 'F -4 3 m'
_symmetry_Int_Tables_number 216
_symmetry_space_group_name_Hall 'F -4 2 3'
loop_
_atom_site_label
_atom_site_fract_x
_atom_site_fract_y
_atom_site_fract_z
La1 0.000 0.000 0.000
Sc1 0.250 0.250 0.250
Mn1 0.250 0.250 0.750
# Magnetization in μB per atom: 0.8313
# Density in g/cm³: 5.6
# Formation energy from the elements in eV/atom: 1.04
# Energy above the most stable polymorph in this dataset in eV/atom: 0.7717

No. 2
# CuP2Ru | Alexandria via LeMat-Bulk | GGA-PBEsol | optimized geometry
data_CuP2Ru
_chemical_formula_sum 'Cu3 P6 Ru3'
_cell_length_a 2.9664
_cell_length_b 2.9664
_cell_length_c 20.6298
_cell_angle_alpha 90.00
_cell_angle_beta 90.00
_cell_angle_gamma 120.00
_symmetry_space_group_name_H-M 'R 3 m'
_symmetry_Int_Tables_number 160
_symmetry_space_group_name_Hall 'R 3 -2"'
loop_
_atom_site_label
_atom_site_fract_x
_atom_site_fract_y
_atom_site_fract_z
Cu1 0.0000 0.0000 0.0000
P1 0.0000 0.0000 0.4906
P2 0.0000 0.0000 0.7416
Ru1 0.0000 0.0000 0.2321
# Magnetization in μB per atom: 0.0000
# Density in g/cm³: 7.2
# Formation energy from the elements in eV/atom: 0.06
# Energy above the most stable polymorph in this dataset in eV/atom: 0.1555

No. 3
# Mn2InHO | Alexandria via LeMat-Bulk | GGA-PBEsol | optimized geometry
data_Mn2InHO
_chemical_formula_sum 'Mn2 In1 H1 O1'
_cell_length_a 3.660
_cell_length_b 3.660
_cell_length_c 4.536
_cell_angle_alpha 90.00
_cell_angle_beta 90.00
_cell_angle_gamma 90.00
_symmetry_space_group_name_H-M 'P 4/m m m'
_symmetry_Int_Tables_number 123
_symmetry_space_group_name_Hall '-P 4 2'
loop_
_atom_site_label
_atom_site_fract_x
_atom_site_fract_y
_atom_site_fract_z
Mn1 0.000 0.500 0.000
In1 0.000 0.000 0.500
H1 0.500 0.500 0.500
O1 0.500 0.500 0.000
# Magnetization in μB per atom: 0.9718
# Density in g/cm³: 6.6
# Uncorrected energy in Ry/atom: -0.4595

No. 4
# BTePd2 | Alexandria via LeMat-Bulk | GGA-PBEsol | optimized geometry
data_BTePd2
_chemical_formula_sum 'B4 Te4 Pd8'
_cell_length_a 4.903
_cell_length_b 4.903
_cell_length_c 12.078
_cell_angle_alpha 90.00
_cell_angle_beta 90.00
_cell_angle_gamma 90.00
_symmetry_space_group_name_H-M 'I -4 2 d'
_symmetry_Int_Tables_number 122
_symmetry_space_group_name_Hall 'I -4 2bw'
loop_
_atom_site_label
_atom_site_fract_x
_atom_site_fract_y
_atom_site_fract_z
B1 0.000 0.000 0.000
Te1 0.000 0.000 0.500
Pd1 0.142 0.250 0.125
# Magnetization in μB per atom: 0.0000
# Density in g/cm³: 8.0
# Formation energy from raw total energies in eV/atom: 0.10

No. 5
# KMgS2N | Alexandria via LeMat-Bulk | GGA-PBEsol | optimized geometry
data_KMgS2N
_chemical_formula_sum 'K1 Mg1 S2 N1'
_cell_length_a 4.911
_cell_length_b 4.911
_cell_length_c 4.388
_cell_angle_alpha 90.00
_cell_angle_beta 90.00
_cell_angle_gamma 90.00
_symmetry_space_group_name_H-M 'P 4/m m m'
_symmetry_Int_Tables_number 123
_symmetry_space_group_name_Hall '-P 4 2'
loop_
_atom_site_label
_atom_site_fract_x
_atom_site_fract_y
_atom_site_fract_z
K1 0.000 0.000 0.000
Mg1 0.500 0.500 0.500
S1 0.000 0.500 0.500
N1 0.500 0.500 0.000
# Magnetization in μB per atom: 0.7008
# Density in g/cm³: 2.2
# Formation energy from raw total energies in eV/atom: 0.19

No. 6
# Cu2TcBr | Alexandria via LeMat-Bulk | GGA-PBEsol | optimized geometry
data_Cu2TcBr
_chemical_formula_sum 'Cu2 Tc1 Br1'
_cell_length_a 2.901
_cell_length_b 4.306
_cell_length_c 4.515
_cell_angle_alpha 90.00
_cell_angle_beta 90.00
_cell_angle_gamma 90.00
_symmetry_space_group_name_H-M 'P m m m'
_symmetry_Int_Tables_number 47
loop_
_symmetry_equiv_pos_as_xyz
'x,y,z'
'-x,-y,-z'
'-x,-y,z'
'x,y,-z'
'x,-y,-z'
'-x,y,z'
'-x,y,-z'
'x,-y,z'
loop_
_atom_site_label
_atom_site_fract_x
_atom_site_fract_y
_atom_site_fract_z
Cu1 0.000 0.000 0.000
Cu2 0.500 0.500 0.000
Tc1 0.000 0.500 0.500
Br1 0.500 0.000 0.500
# Magnetization in μB per atom: 0.0001
# Density in g/cm³: 9.0
# Energy above the most stable polymorph in this dataset in eV/atom: 0.1603
# Formation energy from raw total energies in eV/atom: 0.76

No. 7
# DyScS3 | Alexandria via LeMat-Bulk | GGA-PBEsol | optimized geometry
data_DyScS3
_chemical_formula_sum 'Dy4 Sc4 S12'
_cell_length_a 6.963
_cell_length_b 9.357
_cell_length_c 6.262
_cell_angle_alpha 90.00
_cell_angle_beta 90.00
_cell_angle_gamma 90.00
_symmetry_space_group_name_H-M 'P n m a'
_symmetry_Int_Tables_number 62
loop_
_symmetry_equiv_pos_as_xyz
'x,y,z'
'-x,-y,-z'
'-x+1/2,-y,z+1/2'
'x+1/2,y,-z+1/2'
'x+1/2,-y+1/2,-z+1/2'
'-x+1/2,y+1/2,z+1/2'
'-x,y+1/2,-z'
'x,-y+1/2,z'
loop_
_atom_site_label
_atom_site_fract_x
_atom_site_fract_y
_atom_site_fract_z
Dy1 0.106 0.250 0.043
Sc1 0.000 0.000 0.500
S1 0.046 0.750 0.354
S2 0.182 0.570 0.829
# Magnetization in μB per atom: 0.0000
# Density in g/cm³: 4.9
# Formation energy from raw total energies in eV/atom: -2.05

No. 8
# KTe2IrI | Alexandria via LeMat-Bulk | GGA-PBEsol | optimized geometry
data_KTe2IrI
_chemical_formula_sum 'K1 Te2 Ir1 I1'
_cell_length_a 5.788
_cell_length_b 5.788
_cell_length_c 5.806
_cell_angle_alpha 90.00
_cell_angle_beta 90.00
_cell_angle_gamma 90.00
_symmetry_space_group_name_H-M 'P 4/m m m'
_symmetry_Int_Tables_number 123
_symmetry_space_group_name_Hall '-P 4 2'
loop_
_atom_site_label
_atom_site_fract_x
_atom_site_fract_y
_atom_site_fract_z
K1 0.000 0.000 0.000
Te1 0.000 0.500 0.000
Ir1 0.500 0.500 0.500
I1 0.000 0.000 0.500
# Magnetization in μB per atom: 0.6071
# Density in g/cm³: 5.2
# Formation energy from raw total energies in eV/atom: 1.91